Model a:
This record from OQMD via LeMat-Bulk describes a geometry-optimized Cs2Ag2O5 structure. The functional is PBE.

Calculated values
Symmetry = P4/mmm, No. 123
Mass density = 5.87 g/cm3
Crystal system = tetragonal

extended XYZ file:
```
9
Lattice="-1.623 6.828 -6.548 -2.389 -2.557 -2.075 -3.220 1.279 2.132" Properties=species:S:1:pos:R:3 pbc="T T T"
Cs -0.811 3.414 -3.274
Cs 0.000 0.000 0.000
Ag -3.973 4.280 -4.688
Ag -3.258 1.271 -1.803
O -2.851 5.863 -3.943
O -1.576 0.327 -2.577
O -2.436 3.945 -6.046
O -3.616 2.775 -3.245
O -1.992 2.245 -0.473
```

---

Model b:
This record from OQMD via LeMat-Bulk describes a geometry-optimized Cs2Ag2O5 structure. The functional is PBE.

Calculated values
Symmetry = P4/mmm, No. 123
Mass density = 5.77 g/cm3
Crystal system = tetragonal

extended XYZ file:
```
9
Lattice="-2.189 0.887 7.827 2.486 -3.519 1.094 3.488 2.673 0.673" Properties=species:S:1:pos:R:3 pbc="T T T"
O -0.522 -1.045 6.858
O 1.892 0.020 4.797
O 0.819 -1.588 2.063
O 1.320 1.508 1.853
O -0.021 2.051 6.647
Ag 0.000 0.000 0.000
Ag -1.095 0.443 3.914
Cs 2.520 -0.234 2.552
Cs 1.264 0.274 7.042
```

---

Computed energies relative to the best structure, in eV/atom: model a 0.000; model b 0.816

---

Model a:
This record from OQMD via LeMat-Bulk describes a geometry-optimized CsAgPO structure. The functional is PBE.

Calculated values
Symmetry = P4/nmm, No. 129
Mass density = 5.37 g/cm3
Crystal system = tetragonal

extended XYZ file:
```
8
Lattice="-1.662 -0.360 4.191 -4.007 -1.234 -1.696 2.458 -8.335 0.259" Properties=species:S:1:pos:R:3 pbc="T T T"
O 0.000 0.000 0.000
O -2.835 -0.797 1.248
P 0.287 -8.385 -0.607
P -0.664 -0.747 2.113
Cs 1.229 -4.167 0.129
Cs -1.606 -4.964 1.377
Ag 1.110 -6.764 2.300
Ag -1.487 -2.368 -0.794
```

---

Model b:
This record from OQMD via LeMat-Bulk describes a geometry-optimized CsAgPO structure. The functional is PBE.

Calculated values
Symmetry = Pmma, No. 51
Mass density = 4.92 g/cm3
Crystal system = orthorhombic

extended XYZ file:
```
8
Lattice="-1.601 1.626 -2.868 -6.709 1.117 4.380 2.281 5.801 2.015" Properties=species:S:1:pos:R:3 pbc="T T T"
P -5.014 1.519 1.319
P -2.152 4.133 1.203
O 1.712 4.357 1.514
O -6.135 2.573 4.885
Cs -2.165 1.046 -0.540
Cs -5.000 4.609 3.063
Ag -0.038 3.103 1.780
Ag -5.526 0.927 3.611
```

---

Model c:
This record from OQMD via LeMat-Bulk describes a geometry-optimized CsAgPO structure. The functional is PBE.

Calculated values
Symmetry = P4/nmm, No. 129
Mass density = 5.63 g/cm3
Crystal system = tetragonal

extended XYZ file:
```
8
Lattice="4.593 0.000 0.000 0.000 4.593 0.000 0.000 0.000 8.043" Properties=species:S:1:pos:R:3 pbc="T T T"
Cs 2.297 2.297 4.021
Cs 0.000 0.000 4.021
Ag 0.000 2.297 1.657
Ag 2.297 0.000 6.385
O 2.297 2.297 0.000
O 0.000 0.000 0.000
P 2.297 0.000 0.712
P 0.000 2.297 7.331
```

---

Computed energies relative to the best structure, in eV/atom: model a 0.527; model b 0.000; model c 0.553

---

Model a:
This record from OQMD via LeMat-Bulk describes a geometry-optimized CsAgPO structure. The functional is PBE.

Calculated values
Symmetry = P4/nmm, No. 129
Mass density = 4.41 g/cm3
Crystal system = tetragonal

extended XYZ file:
```
8
Lattice="-4.375 0.423 0.011 -0.260 -2.771 3.402 0.854 8.635 7.099" Properties=species:S:1:pos:R:3 pbc="T T T"
Cs -2.758 5.498 8.527
Cs -1.023 0.790 1.985
P -0.642 4.640 5.150
P -3.139 1.648 5.362
O -3.346 -0.375 0.859
O -1.288 -1.972 2.554
Ag -2.919 3.943 4.408
Ag -0.862 2.345 6.104
```

---

Model b:
This record from OQMD via LeMat-Bulk describes a geometry-optimized CsAgPO structure. The functional is PBE.

Calculated values
Symmetry = Pmc2_1, No. 26
Mass density = 4.48 g/cm3
Crystal system = orthorhombic

extended XYZ file:
```
8
Lattice="-1.856 -1.654 -2.790 -4.108 -3.771 4.969 -5.133 5.667 0.056" Properties=species:S:1:pos:R:3 pbc="T T T"
Ag -3.219 2.030 0.939
Ag -8.387 2.477 4.113
P -5.251 -2.128 4.755
P -4.086 4.130 0.271
Cs -2.612 -1.724 0.258
Cs -6.560 -0.159 1.957
O -4.481 0.602 0.122
O -8.689 1.929 2.136
```

---

Computed energies relative to the best structure, in eV/atom: model a 0.138; model b 0.000

---

Model a:
This record from OQMD via LeMat-Bulk describes a geometry-optimized CsAgPb structure. The functional is PBE.

Calculated values
Symmetry = F-43m, No. 216
Mass density = 5.21 g/cm3
Crystal system = cubic

extended XYZ file:
```
3
Lattice="0.000 4.148 4.148 4.148 0.000 4.148 4.148 4.148 0.000" Properties=species:S:1:pos:R:3 pbc="T T T"
Cs 0.000 0.000 0.000
Pb 6.222 6.222 6.222
Ag 2.074 2.074 2.074
```

---

Model b:
This record from OQMD via LeMat-Bulk describes a geometry-optimized CsAgPb structure. The functional is PBE.

Calculated values
Symmetry = F-43m, No. 216
Mass density = 6.08 g/cm3
Crystal system = cubic

extended XYZ file:
```
3
Lattice="0.000 3.940 3.940 3.940 0.000 3.940 3.940 3.940 0.000" Properties=species:S:1:pos:R:3 pbc="T T T"
Pb 5.911 5.911 5.911
Ag 0.000 0.000 0.000
Cs 1.970 1.970 1.970
```

---

Computed energies relative to the best structure, in eV/atom: model a 0.433; model b 0.000

---

Model a:
This record from OQMD via LeMat-Bulk describes a geometry-optimized CsAgPbSe3 structure. The functional is PBE.

Calculated values
Symmetry = P2_1/m, No. 11
Mass density = 5.80 g/cm3
Crystal system = monoclinic

extended XYZ file:
```
12
Lattice="9.315 0.000 0.000 0.000 4.327 0.000 -3.751 0.000 9.722" Properties=species:S:1:pos:R:3 pbc="T T T"
Pb -0.693 1.082 6.157
Pb 6.257 3.245 3.565
Se 4.329 1.082 3.499
Se -1.014 1.082 3.389
Se 6.577 3.245 6.333
Se 6.569 3.245 0.716
Se 1.235 3.245 6.223
Se -1.005 1.082 9.006
Cs 3.949 1.082 7.573
Cs 1.615 3.245 2.150
Ag 4.897 1.082 0.889
Ag 0.666 3.245 8.834
```

---

Model b:
This record from OQMD via LeMat-Bulk describes a geometry-optimized CsAgPbSe3 structure. The functional is PBE.

Calculated values
Symmetry = Cmcm, No. 63
Mass density = 5.95 g/cm3
Crystal system = orthorhombic

extended XYZ file:
```
12
Lattice="8.031 -2.060 0.000 8.031 2.060 0.000 0.000 0.000 11.552" Properties=species:S:1:pos:R:3 pbc="T T T"
Se 6.024 0.000 6.276
Se 10.038 0.000 0.500
Se 10.038 0.000 5.276
Se 15.295 0.000 2.888
Se 6.024 0.000 11.052
Se 0.767 0.000 8.664
Pb 0.000 0.000 0.000
Pb 0.000 0.000 5.776
Cs 11.863 0.000 8.664
Cs 4.199 0.000 2.888
Ag 8.944 0.000 2.888
Ag 7.118 0.000 8.664
```

---

Computed energies relative to the best structure, in eV/atom: model a 0.000; model b 0.027

---

Model a:
This record from OQMD via LeMat-Bulk describes a geometry-optimized CsAgTe3Pb structure. The functional is PBE.

Calculated values
Symmetry = Cmcm, No. 63
Mass density = 6.30 g/cm3
Crystal system = orthorhombic

extended XYZ file:
```
12
Lattice="-1.993 6.943 -5.388 -0.697 -8.537 2.802 -9.163 3.225 7.545" Properties=species:S:1:pos:R:3 pbc="T T T"
Te -3.572 -0.755 0.998
Te -10.586 7.967 2.920
Te -5.053 -5.003 5.156
Te -1.268 -6.336 2.039
Te -6.800 6.635 -0.198
Te -8.282 2.386 3.961
Pb -5.927 0.816 2.479
Pb -1.345 -0.797 -1.293
Cs -7.879 -2.418 6.503
Cs -3.974 4.049 -1.544
Ag -8.783 8.378 0.791
Ag -3.070 -6.747 4.168
```

---

Model b:
This record from OQMD via LeMat-Bulk describes a geometry-optimized CsAgTe3Pb structure. The functional is PBE.

Calculated values
Symmetry = P2_1/m, No. 11
Mass density = 6.17 g/cm3
Crystal system = monoclinic

extended XYZ file:
```
12
Lattice="10.198 0.000 0.000 0.000 4.528 0.000 -4.263 0.000 9.689" Properties=species:S:1:pos:R:3 pbc="T T T"
Te -2.757 3.396 6.768
Te 7.107 3.396 0.895
Te 1.748 3.396 6.058
Te -1.173 1.132 8.794
Te 8.692 1.132 2.921
Te 4.187 1.132 3.632
Ag 0.724 3.396 8.720
Ag 5.211 1.132 0.970
Pb 6.273 3.396 3.912
Pb -0.338 1.132 5.777
Cs 4.401 1.132 7.734
Cs 1.534 3.396 1.956
```

---

Computed energies relative to the best structure, in eV/atom: model a 0.015; model b 0.000

---

Model a:
This record from OQMD via LeMat-Bulk describes a geometry-optimized CsZrAgSeS2 structure. The functional is PBE.

Calculated values
Total magnetization = 0.00 Bohr magnetons per cell
Symmetry = P2_1/m, No. 11
Mass density = 4.69 g/cm3
Crystal system = monoclinic

extended XYZ file:
```
12
Lattice="9.190 0.000 0.000 0.000 3.973 0.000 -3.944 0.000 9.214" Properties=species:S:1:pos:R:3 pbc="T T T"
Cs -0.949 0.993 7.050
Cs 6.195 2.980 2.164
S -0.180 0.993 3.452
S 3.328 0.993 8.586
S 5.425 2.980 5.761
S 1.918 2.980 0.628
Zr 3.735 0.993 6.089
Zr 1.510 2.980 3.125
Ag 4.951 2.980 8.226
Ag 0.295 0.993 0.988
Se 1.802 2.980 5.909
Se 3.444 0.993 3.305
```

---

Model b:
This record from OQMD via LeMat-Bulk describes a geometry-optimized CsZrAgSeS2 structure. The functional is PBE.

Calculated values
Total magnetization = 0.00 Bohr magnetons per cell
Symmetry = Cmcm, No. 63
Mass density = 4.81 g/cm3
Crystal system = orthorhombic

extended XYZ file:
```
12
Lattice="1.956 -8.033 0.000 1.956 8.033 0.000 0.000 0.000 10.429" Properties=species:S:1:pos:R:3 pbc="T T T"
S 1.956 6.297 10.060
S 1.956 -6.297 4.845
S 1.956 -6.297 0.369
S 1.956 6.297 5.584
Cs 1.956 -3.988 7.822
Cs 1.956 3.988 2.607
Se 1.956 -1.061 2.607
Se 1.956 1.061 7.822
Zr 1.956 0.000 0.000
Zr 1.956 0.000 5.215
Ag 1.956 7.334 7.822
Ag 1.956 -7.334 2.607
```

---

Model c:
This record from OQMD via LeMat-Bulk describes a geometry-optimized CsZrAgSeS2 structure. The functional is PBE.

Calculated values
Total magnetization = 0.00 Bohr magnetons per cell
Symmetry = P2_1/m, No. 11
Mass density = 4.81 g/cm3
Crystal system = monoclinic

extended XYZ file:
```
12
Lattice="8.878 0.000 0.000 0.000 3.934 0.000 -4.105 0.000 9.398" Properties=species:S:1:pos:R:3 pbc="T T T"
Ag -1.861 0.984 5.728
Ag 6.633 2.951 3.670
S -2.417 0.984 8.175
S 3.683 2.951 1.186
S 1.090 0.984 8.212
S 7.190 2.951 1.223
Se -0.026 2.951 5.391
Se 4.799 0.984 4.007
Zr -0.681 2.951 7.987
Zr 5.454 0.984 1.411
Cs 3.679 2.951 6.952
Cs 1.094 0.984 2.446
```

---

Model d:
This record from OQMD via LeMat-Bulk describes a geometry-optimized CsZrAgSeS2 structure. The functional is PBE.

Calculated values
Total magnetization = 0.00 Bohr magnetons per cell
Symmetry = P2_1/m, No. 11
Mass density = 4.81 g/cm3
Crystal system = monoclinic

extended XYZ file:
```
12
Lattice="8.942 0.000 0.000 0.000 3.970 0.000 -4.027 0.000 9.236" Properties=species:S:1:pos:R:3 pbc="T T T"
Se 2.893 2.977 1.110
Se 2.021 0.992 8.126
Cs -0.718 2.977 6.656
Cs 5.632 0.992 2.580
Zr 0.995 0.992 1.433
Zr 3.919 2.977 7.802
S -3.312 0.992 8.020
S 8.226 2.977 1.215
S 4.369 2.977 5.306
S 0.545 0.992 3.929
Ag 2.189 2.977 3.623
Ag 2.725 0.992 5.613
```

---

Computed energies relative to the best structure, in eV/atom: model a 0.039; model b 0.060; model c 0.000; model d 0.016

---

Model a:
This record from OQMD via LeMat-Bulk describes a geometry-optimized CsTbAg3S4 structure. The functional is PBE.

Calculated values
Total magnetization = 0.00 Bohr magnetons per cell
Symmetry = P-43m, No. 215
Mass density = 4.32 g/cm3
Crystal system = cubic

extended XYZ file:
```
9
Lattice="-5.067 -1.799 3.808 -0.298 -5.790 -3.131 4.201 -2.580 4.371" Properties=species:S:1:pos:R:3 pbc="T T T"
Tb -0.582 -5.084 2.524
S -0.708 -4.771 5.035
S 1.410 -6.543 1.954
S -0.323 -2.827 1.404
S -2.705 -6.196 1.704
Cs 0.000 0.000 0.000
Ag -2.682 -3.794 0.339
Ag 1.952 -4.185 0.620
Ag -0.433 -2.189 4.090
```

---

Model b:
This record from OQMD via LeMat-Bulk describes a geometry-optimized CsTbAg3S4 structure. The functional is PBE.

Calculated values
Total magnetization = 0.60 Bohr magnetons per cell
Symmetry = P2_1/m, No. 11
Mass density = 4.86 g/cm3
Crystal system = monoclinic

extended XYZ file:
```
18
Lattice="6.255 0.000 0.000 0.000 7.621 0.000 -2.470 0.000 10.662" Properties=species:S:1:pos:R:3 pbc="T T T"
S 1.858 1.905 1.018
S 2.094 1.905 5.818
S 4.797 7.527 3.164
S 1.927 5.716 9.644
S 4.797 3.906 3.164
S -1.013 0.095 7.497
S -1.013 3.716 7.497
S 1.691 5.716 4.844
Cs 2.434 1.905 9.446
Cs 1.351 5.716 1.216
Tb 0.670 5.716 7.354
Tb 3.114 1.905 3.307
Ag 3.593 4.241 5.654
Ag 0.192 0.430 5.007
Ag 3.868 5.716 8.257
Ag 3.593 7.192 5.654
Ag -0.083 1.905 2.404
Ag 0.192 3.381 5.007
```

---

Computed energies relative to the best structure, in eV/atom: model a 0.098; model b 0.000

---

Model a:
This record from OQMD via LeMat-Bulk describes a geometry-optimized CsAgSb structure. The functional is PBE.

Calculated values
Symmetry = F-43m, No. 216
Mass density = 5.35 g/cm3
Crystal system = cubic

extended XYZ file:
```
3
Lattice="3.461 -3.196 -2.679 2.566 -3.999 2.606 -1.304 -5.163 -1.005" Properties=species:S:1:pos:R:3 pbc="T T T"
Ag 0.000 0.000 0.000
Cs 1.181 -3.090 -0.269
Sb 3.543 -9.269 -0.808
```

---

Model b:
This record from OQMD via LeMat-Bulk describes a geometry-optimized CsAgSb structure. The functional is PBE.

Calculated values
Symmetry = F-43m, No. 216
Mass density = 4.32 g/cm3
Crystal system = cubic

extended XYZ file:
```
3
Lattice="0.000 4.116 4.116 4.116 0.000 4.116 4.116 4.116 0.000" Properties=species:S:1:pos:R:3 pbc="T T T"
Cs 0.000 0.000 0.000
Ag 2.058 2.058 2.058
Sb 6.174 6.174 6.174
```

---

Computed energies relative to the best structure, in eV/atom: model a 0.000; model b 0.574

---

Model a:
This record from OQMD via LeMat-Bulk describes a geometry-optimized CsScAg structure. The functional is PBE.

Calculated values
Total magnetization = 0.98 Bohr magnetons per cell
Symmetry = F-43m, No. 216
Mass density = 4.06 g/cm3
Crystal system = cubic

extended XYZ file:
```
3
Lattice="0.209 3.679 4.068 -3.334 4.359 -0.069 -4.131 0.352 3.596" Properties=species:S:1:pos:R:3 pbc="T T T"
Ag 0.000 0.000 0.000
Sc -5.442 6.293 5.697
Cs -1.814 2.098 1.899
```

---

Model b:
This record from OQMD via LeMat-Bulk describes a geometry-optimized CsScAg structure. The functional is PBE.

Calculated values
Total magnetization = 1.18 Bohr magnetons per cell
Symmetry = F-43m, No. 216
Mass density = 4.47 g/cm3
Crystal system = cubic

extended XYZ file:
```
3
Lattice="2.215 -3.948 2.780 2.385 1.027 4.635 -2.221 -1.619 4.547" Properties=species:S:1:pos:R:3 pbc="T T T"
Sc 1.785 -3.405 8.972
Cs 0.000 0.000 0.000
Ag 0.595 -1.135 2.990
```

---

Computed energies relative to the best structure, in eV/atom: model a 0.000; model b 0.467